DFT (PBE with a Hubbard U) results for crystalline V3AsO9 at its relaxed geometry.

Values from the calculation:
- space group = Cc
- D(E_F) (states/eV/f.u.) = 0.00
- DFT total energy (eV/atom) = -7.19

Lattice parameters (Å, degrees): 8.429 8.429 10.885 121.29 121.29 53.33
Element x y z (fractional)
V (0.048, 0.952, 0.500)
V (0.221, 0.522, 0.583)
V (0.522, 0.221, 0.083)
V (0.527, 0.646, 0.423)
V (0.646, 0.527, 0.923)
V (0.952, 0.048, 0.000)
As (0.466, 0.966, 0.205)
As (0.966, 0.466, 0.705)
O (0.025, 0.193, 0.642)
O (0.072, 0.431, 0.577)
O (0.078, 0.782, 0.572)
O (0.193, 0.025, 0.142)
O (0.274, 0.832, 0.448)
O (0.312, 0.367, 0.440)
O (0.367, 0.312, 0.940)
O (0.431, 0.072, 0.077)
O (0.436, 0.507, 0.753)
O (0.507, 0.436, 0.253)
O (0.548, 0.698, 0.079)
O (0.616, 0.760, 0.409)
O (0.698, 0.548, 0.579)
O (0.760, 0.616, 0.909)
O (0.782, 0.078, 0.072)
O (0.832, 0.274, 0.948)
O (0.846, 0.982, 0.350)
O (0.982, 0.846, 0.850)